1.
5
Lattice="3.085 0.000 0.000 0.000 3.085 0.000 0.000 0.000 4.527" Properties=species:S:1:pos:R:3 comment="BeBOF2 (meta-GGA SCAN, single point on PBEsol structure)" raw_formation_energy_mev_per_atom=-1065 dos_at_fermi_per_ev_cell=0.63 sg="No. 123" pbc="T T T"
Be 0.000 0.000 0.000
B 1.543 1.543 2.263
O 0.000 0.000 2.263
F 0.000 1.543 0.000
F 1.543 0.000 0.000

2.
9
Lattice="2.222 1.283 6.611 -2.222 1.283 6.611 0.000 -2.566 6.611" Properties=species:S:1:pos:R:3 comment="RbBe2BO3F2 (meta-GGA SCAN, single point on PBEsol structure)" raw_formation_energy_mev_per_atom=-3059 dos_at_fermi_per_ev_cell=0.00 sg="No. 155" pbc="T T T"
Rb 0.000 0.000 0.000
Be 0.000 0.000 3.875
Be 0.000 0.000 15.959
B 0.000 0.000 9.917
O -1.376 0.000 9.917
O 0.688 -1.192 9.917
O 0.688 1.192 9.917
F 0.000 0.000 5.411
F 0.000 0.000 14.423

3.
4
Lattice="0.000 2.519 2.519 2.519 0.000 2.519 2.519 2.519 0.000" Properties=species:S:1:pos:R:3 comment="BeFe2B (meta-GGA SCAN, single point on PBEsol structure)" e_form_mev_per_atom=-73.5 dos_at_fermi_per_ev_cell=2.97 sg="No. 225" pbc="T T T"
Be 0.000 0.000 0.000
Fe 1.260 1.260 1.260
Fe 3.779 3.779 3.779
B 2.519 2.519 2.519

4.
10
Lattice="5.208 0.000 0.000 0.000 5.208 0.000 0.000 0.000 2.790" Properties=species:S:1:pos:R:3 comment="BeFe2B2 (meta-GGA SCAN, single point on PBEsol structure)" e_form_mev_per_atom=-376.3 dos_at_fermi_per_ev_cell=3.44 sg="No. 127" pbc="T T T"
Be 0.000 0.000 0.000
Be 2.604 2.604 0.000
Fe 0.904 1.700 1.395
Fe 1.700 4.305 1.395
Fe 3.508 0.904 1.395
Fe 4.305 3.508 1.395
B 0.626 3.231 0.000
B 1.978 0.626 0.000
B 3.231 4.582 0.000
B 4.582 1.978 0.000

5.
5
Lattice="4.053 0.000 0.000 0.000 4.053 0.000 0.000 0.000 4.053" Properties=species:S:1:pos:R:3 comment="BeGaB3 (meta-GGA SCAN, single point on PBEsol structure)" e_form_mev_per_atom=2250.7 dos_at_fermi_per_ev_cell=2.22 sg="No. 221" pbc="T T T"
Be 0.000 0.000 0.000
Ga 2.026 2.026 2.026
B 0.000 2.026 2.026
B 2.026 0.000 2.026
B 2.026 2.026 0.000

6.
5
Lattice="4.270 0.000 0.000 0.000 4.270 0.000 0.000 0.000 4.270" Properties=species:S:1:pos:R:3 comment="BeGa3B (meta-GGA SCAN, single point on PBEsol structure)" e_form_mev_per_atom=824.7 dos_at_fermi_per_ev_cell=2.59 sg="No. 221" pbc="T T T"
Be 0.000 0.000 0.000
Ga 0.000 2.135 2.135
Ga 2.135 0.000 2.135
Ga 2.135 2.135 0.000
B 2.135 2.135 2.135

7.
5
Lattice="3.958 0.000 0.000 0.000 3.958 0.000 0.000 0.000 4.807" Properties=species:S:1:pos:R:3 comment="BeGeB2Pb (meta-GGA SCAN, single point on PBEsol structure)" e_form_mev_per_atom=1310.5 dos_at_fermi_per_ev_cell=2.18 sg="No. 123" pbc="T T T"
Be 0.000 0.000 0.000
Ge 0.000 0.000 2.404
B 0.000 1.979 0.000
B 1.979 0.000 0.000
Pb 1.979 1.979 2.404

8.
4
Lattice="0.000 2.281 2.281 2.281 0.000 2.281 2.281 2.281 0.000" Properties=species:S:1:pos:R:3 comment="BeB2H (meta-GGA SCAN, single point on PBEsol structure)" dos_at_fermi_per_ev_cell=1.20 sg="No. 225" pbc="T T T"
Be 0.000 0.000 0.000
B 1.141 1.141 1.141
B 3.422 3.422 3.422
H 2.281 2.281 2.281

9.
5
Lattice="3.053 0.000 0.000 0.000 3.053 0.000 0.000 0.000 3.053" Properties=species:S:1:pos:R:3 comment="BeBH3 (meta-GGA SCAN, single point on PBEsol structure)" dos_at_fermi_per_ev_cell=0.62 sg="No. 221" pbc="T T T"
Be 0.000 0.000 0.000
B 1.527 1.527 1.527
H 0.000 0.000 1.527
H 0.000 1.527 0.000
H 1.527 0.000 0.000

10.
8
Lattice="-1.487 1.487 5.047 1.487 -1.487 5.047 1.487 1.487 -5.047" Properties=species:S:1:pos:R:3 comment="BeBH2 (meta-GGA SCAN, single point on PBEsol structure)" dos_at_fermi_per_ev_cell=0.95 sg="No. 122" pbc="T T T"
Be 0.000 0.000 0.000
Be 0.000 1.487 2.524
B 1.487 0.000 2.524
B 0.000 0.000 5.047
H 0.743 1.153 -1.262
H 1.821 0.743 1.262
H 0.743 0.334 3.785
H -0.334 0.743 6.309

11.
88
Lattice="-6.575 6.575 4.198 6.575 -6.575 4.198 6.575 6.575 -4.198" Properties=species:S:1:pos:R:3 comment="BeB2H8 (meta-GGA SCAN, single point on PBEsol structure)" dos_at_fermi_per_ev_cell=0.00 sg="No. 110" pbc="T T T"
Be 2.605 -1.069 2.099
Be 7.644 2.605 0.000
Be 1.069 3.970 0.000
Be 3.970 7.644 -2.099
Be 3.970 5.506 2.099
Be 5.506 2.605 4.198
Be -1.069 3.970 4.198
Be 2.605 1.069 6.296
B 1.754 2.498 -1.083
B 5.800 2.136 0.065
B 8.329 4.077 -1.083
B 4.438 5.800 -2.034
B 9.073 1.754 1.016
B 2.136 0.774 2.164
B 5.800 -2.136 4.263
B 2.498 4.821 1.016
B -1.754 2.498 3.115
B 0.774 8.711 0.065
B 4.821 4.077 3.115
B 2.136 -0.774 6.362
B 4.077 1.754 5.213
B 4.438 7.349 2.164
B 0.774 4.438 4.263
B -2.498 4.821 5.213
H 6.598 1.836 -0.867
H 8.493 2.901 -1.412
H 2.866 2.059 -0.789
H 10.188 -1.552 1.741
H 8.520 1.187 0.073
H 7.761 4.630 -2.026
H 8.493 -2.901 2.786
H 5.350 1.103 0.502
H 1.836 -0.023 1.232
H 4.739 6.598 -2.965
H 4.266 -1.034 1.997
H 1.034 2.308 -0.102
H 5.023 2.962 -0.357
H 5.472 5.350 -1.597
H 10.248 1.919 0.687
H 5.023 -2.962 3.840
H 2.866 -2.059 3.408
H 6.598 -1.836 3.331
H 7.609 4.266 -0.102
H 8.883 1.034 1.997
H 6.459 2.666 1.000
H 2.962 1.552 1.741
H 3.909 6.459 -1.099
H 8.634 2.866 1.309
H 2.666 0.116 3.099
H 1.103 1.225 2.600
H -1.187 1.945 2.171
H -0.116 3.909 1.000
H 1.945 5.388 0.073
H 3.673 4.656 0.687
H 2.059 3.708 1.309
H 5.350 -1.103 4.699
H 6.552 1.836 3.331
H 4.656 2.901 2.786
H 3.708 8.634 -0.789
H 2.962 -1.552 5.939
H 4.630 1.187 4.270
H -1.919 3.673 2.786
H 5.388 4.630 2.171
H 1.225 7.677 0.502
H 4.739 6.552 1.232
H 1.836 0.023 5.430
H 2.308 5.540 1.997
H -1.034 2.308 4.096
H 1.552 9.536 -0.357
H 7.677 5.350 2.600
H 2.901 1.919 4.885
H 1.552 3.613 3.840
H 3.708 4.516 3.408
H -0.023 4.739 3.331
H 5.540 4.266 4.096
H -2.308 7.609 1.997
H 0.116 9.241 1.000
H 3.613 8.126 1.741
H -3.909 6.459 3.099
H 4.516 2.866 5.507
H 3.909 6.690 3.099
H -1.103 1.225 6.798
H 1.187 1.945 6.369
H 0.116 3.909 5.197
H -1.945 5.388 4.270
H -3.673 4.656 4.885
H -2.059 3.708 5.507
H 1.225 5.472 4.699

12.
64
Lattice="4.430 0.000 0.000 0.000 9.783 0.000 0.000 0.000 12.080" Properties=species:S:1:pos:R:3 comment="Be2BHO4 (meta-GGA SCAN, single point on PBEsol structure)" dos_at_fermi_per_ev_cell=0.00 sg="No. 61" pbc="T T T"
Be 0.989 2.308 0.835
Be 0.989 2.584 6.875
Be 1.068 9.781 2.288
Be 1.068 4.894 8.328
Be 1.147 0.002 8.328
Be 1.147 4.890 2.288
Be 1.226 7.200 0.835
Be 1.226 7.475 6.875
Be 3.204 2.308 5.205
Be 3.204 2.584 11.245
Be 3.283 9.781 3.752
Be 3.283 4.894 9.792
Be 3.362 0.002 9.792
Be 3.362 4.890 3.752
Be 3.441 7.200 5.205
Be 3.441 7.475 11.245
B 1.010 1.026 4.758
B 1.010 3.866 10.798
B 1.205 5.918 4.758
B 1.205 8.757 10.798
B 3.225 1.026 1.282
B 3.225 3.866 7.322
B 3.420 5.918 1.282
B 3.420 8.757 7.322
H 0.142 1.821 8.784
H 0.142 3.071 2.744
H 2.073 6.713 8.784
H 2.073 7.962 2.744
H 2.357 1.821 9.336
H 2.357 3.071 3.296
H 4.288 6.713 9.336
H 4.288 7.962 3.296
O 0.364 5.857 1.236
O 0.364 8.818 7.276
O 0.515 6.722 5.635
O 0.515 7.953 11.675
O 0.517 5.236 3.780
O 0.517 9.439 9.820
O 0.914 1.609 8.189
O 0.914 3.283 2.149
O 1.301 6.501 8.189
O 1.301 8.174 2.149
O 1.698 0.345 3.780
O 1.698 4.547 9.820
O 1.700 1.831 5.635
O 1.700 3.061 11.675
O 1.851 0.965 1.236
O 1.851 3.927 7.276
O 2.579 5.857 4.804
O 2.579 8.818 10.844
O 2.731 6.722 0.405
O 2.731 7.953 6.445
O 2.733 5.236 2.260
O 2.733 9.439 8.300
O 3.129 1.609 9.930
O 3.129 3.283 3.890
O 3.516 6.501 9.930
O 3.516 8.174 3.890
O 3.913 0.345 2.260
O 3.913 4.547 8.300
O 3.915 1.831 0.405
O 3.915 3.061 6.445
O 4.066 0.965 4.804
O 4.066 3.927 10.844

13.
24
Lattice="4.180 -5.150 0.000 4.180 5.150 0.000 -2.420 0.000 6.019" Properties=species:S:1:pos:R:3 comment="Sr3Be2B5HO13 (meta-GGA SCAN, single point on PBEsol structure)" dos_at_fermi_per_ev_cell=0.00 sg="No. 8" pbc="T T T"
Sr 0.000 0.000 0.000
Sr 4.485 2.976 3.462
Sr 4.485 -2.976 3.462
Be 3.283 1.431 0.996
Be 3.283 -1.431 0.996
B 5.554 2.414 0.163
B 2.517 0.000 3.067
B 2.716 0.000 5.509
B 5.554 -2.414 0.163
B 6.715 0.000 3.237
H 4.778 0.000 1.508
O 2.013 3.948 3.698
O -0.491 0.000 2.446
O -0.266 1.631 5.940
O 4.416 2.547 0.897
O 2.767 1.212 2.496
O -0.266 -1.631 5.940
O 1.885 0.000 4.338
O 4.191 0.000 0.710
O 2.767 -1.212 2.496
O 3.554 1.195 5.621
O 2.013 -3.948 3.698
O 3.554 -1.195 5.621
O 4.416 -2.547 0.897

14.
5
Lattice="3.154 0.000 0.000 0.000 3.154 0.000 0.000 0.000 4.786" Properties=species:S:1:pos:R:3 comment="BeBH2Pd (meta-GGA SCAN, single point on PBEsol structure)" dos_at_fermi_per_ev_cell=0.68 sg="No. 123" pbc="T T T"
Be 0.000 0.000 0.000
B 1.577 1.577 0.000
H 0.000 1.577 2.393
H 1.577 0.000 2.393
Pd 0.000 0.000 2.393

15.
5
Lattice="3.449 0.000 0.000 0.000 3.449 0.000 0.000 0.000 3.323" Properties=species:S:1:pos:R:3 comment="TiBeB2H (meta-GGA SCAN, single point on PBEsol structure)" dos_at_fermi_per_ev_cell=1.90 sg="No. 123" pbc="T T T"
Ti 0.000 0.000 0.000
Be 1.725 1.725 1.662
B 0.000 1.725 1.662
B 1.725 0.000 1.662
H 1.725 1.725 0.000

16.
4
Lattice="0.000 2.854 2.854 2.854 0.000 2.854 2.854 2.854 0.000" Properties=species:S:1:pos:R:3 comment="BeHgB2 (meta-GGA SCAN, single point on PBEsol structure)" e_form_mev_per_atom=1739.5 dos_at_fermi_per_ev_cell=1.02 sg="No. 225" pbc="T T T"
Be 0.000 0.000 0.000
Hg 2.854 2.854 2.854
B 1.427 1.427 1.427
B 4.281 4.281 4.281

17.
5
Lattice="4.301 0.000 0.000 0.000 4.301 0.000 0.000 0.000 4.949" Properties=species:S:1:pos:R:3 comment="BeNbB2I (meta-GGA SCAN, single point on PBEsol structure)" raw_formation_energy_mev_per_atom=1758 dos_at_fermi_per_ev_cell=4.37 sg="No. 123" pbc="T T T"
Be 0.000 0.000 0.000
Nb 0.000 0.000 2.474
B 0.000 2.151 2.474
B 2.151 0.000 2.474
I 2.151 2.151 0.000

18.
5
Lattice="3.262 0.000 0.000 0.000 3.262 0.000 0.000 0.000 6.101" Properties=species:S:1:pos:R:3 comment="BeBIO2 (meta-GGA SCAN, single point on PBEsol structure)" raw_formation_energy_mev_per_atom=36 dos_at_fermi_per_ev_cell=1.23 sg="No. 123" pbc="T T T"
Be 0.000 0.000 0.000
B 1.631 1.631 3.051
I 1.631 1.631 0.000
O 0.000 1.631 3.051
O 1.631 0.000 3.051

19.
5
Lattice="4.739 0.000 0.000 0.000 4.739 0.000 0.000 0.000 4.938" Properties=species:S:1:pos:R:3 comment="BeBSb2I (meta-GGA SCAN, single point on PBEsol structure)" raw_formation_energy_mev_per_atom=1297 dos_at_fermi_per_ev_cell=3.13 sg="No. 123" pbc="T T T"
Be 0.000 0.000 0.000
B 2.369 2.369 2.469
Sb 0.000 2.369 2.469
Sb 2.369 0.000 2.469
I 2.369 2.369 0.000

no.,raw total energy (eV/cell)
1,-30.417
2,-90.180
3,-48.336
4,-114.706
5,-31.735
6,-56.699
7,-107.529
8,-17.454
9,-16.299
10,-30.879
11,-387.971
12,-520.855
13,-265.498
14,-47.538
15,-36.026
16,-80.420
17,-80.292
18,-60.809
19,-116.563